The following is a DFT calculation (PBE) of ScPb2Br after structural relaxation.

Results
**Theoretical density**: 7.98 g cm⁻³
**Crystal system**: trigonal
**E_tot**: -0.14578 hartree per atom
**DOS(E_F)**: 4.62 states/eV/f.u.
**Volume**: 28.053 Å³/atom
**Polymorph energy (0 for the lowest one)**: 433 meV per atom

```
data_ScPb2Br
_chemical_formula_sum 'Sc1 Pb2 Br1'
_cell_length_a 9.9534
_cell_length_b 9.9534
_cell_length_c 9.9534
_cell_angle_alpha 21.13
_cell_angle_beta 21.13
_cell_angle_gamma 21.13
_symmetry_space_group_name_H-M 'P 1'
_symmetry_Int_Tables_number 1
_symmetry_space_group_name_Hall 'P 1'
loop_
_atom_site_label
_atom_site_fract_x
_atom_site_fract_y
_atom_site_fract_z
Br1 0.2500 0.2500 0.2500
Pb1 0.0014 0.0014 0.0014
Pb2 0.4986 0.4986 0.4986
Sc1 0.7500 0.7500 0.7500
```